(1)
Below is a geometry-optimized NdGd2Mg3ZnIn2 structure, with properties calculated at the PBE-GGA level.

* calculated volume: 458 Å³/cell
* E_tot: -57.69 eV per cell

Cell lengths 4.644, 13.158, 7.498 Å; angles 90.00, 90.00, 90.00 degrees
Space group Amm2 (No. 38)
Unique sites:
1 Nd 0.000 0.000 0.000
2 Gd 0.000 0.206 0.617
3 Mg 0.500 0.000 0.649
4 Mg 0.500 0.118 0.295
5 Zn 0.000 0.000 0.418
6 In 0.500 0.169 0.911


(2)
Below is a geometry-optimized Na3Fe2S4 structure, with properties calculated at the PBE-GGA level.

* calculated volume: 734 Å³/cell
* E_tot: -175.59 eV per cell

Cell lengths 6.587, 10.449, 10.662 Å; angles 90.00, 90.00, 90.00 degrees
Space group Pnma (No. 62)
Unique sites:
1 Na 0.048 0.083 0.143
2 Na 0.086 0.250 0.762
3 Fe 0.050 0.126 0.472
4 S 0.118 0.750 0.666
5 S 0.165 0.553 0.376
6 S 0.186 0.750 0.037


(3)
Below is a geometry-optimized Ta4Ni2CN structure, with properties calculated at the PBE-GGA level.

* calculated volume: 107 Å³/cell
* E_tot: -79.55 eV per cell

Cell lengths 3.0874, 3.0874, 12.9647 Å; angles 90.00, 90.00, 120.00 degrees
Space group P-3m1 (No. 164)
Unique sites:
1 Ta 0.3333 0.6667 0.0969
2 Ta 0.3333 0.6667 0.4046
3 Ni 0.3333 0.6667 0.7482
4 C 0.0000 0.0000 0.0000
5 N 0.0000 0.0000 0.5000


(4)
Below is a geometry-optimized Ac2Au2I structure, with properties calculated at the PBE-GGA level.

* calculated volume: 172 Å³/cell
* E_tot: -20.35 eV per cell

Cell lengths 4.6108, 4.6108, 9.3447 Å; angles 90.00, 90.00, 120.00 degrees
Space group P-3m1 (No. 164)
Unique sites:
1 Ac 0.3333 0.6667 0.2506
2 Au 0.3333 0.6667 0.9121
3 I 0.0000 0.0000 0.5000


(5)
Below is a geometry-optimized SrErPa structure, with properties calculated at the PBE-GGA level.

* offset from the most stable computed form: 0.0 meV/atom
* calculated volume: 478 Å³/cell

Cell lengths 7.820, 7.820, 7.820 Å; angles 90.00, 90.00, 90.00 degrees
Space group F-43m (No. 216)
Unique sites:
1 Sr 0.000 0.000 0.000
2 Er 0.250 0.250 0.750
3 Pa 0.000 0.000 0.500


(6)
Below is a geometry-optimized KNaPPd structure, with properties calculated at the PBE-GGA level.

* offset from the most stable computed form: 12.5 meV/atom
* calculated volume: 380 Å³/cell

Cell lengths 5.675, 7.220, 9.261 Å; angles 90.00, 90.00, 90.00 degrees
Space group Ama2 (No. 40)
Unique sites:
1 K 0.250 0.143 0.000
2 Na 0.250 0.143 0.349
3 P 0.250 0.257 0.674
4 Pd 0.000 0.000 0.661


(7)
Below is a geometry-optimized TlCuTcTe3 structure, with properties calculated at the PBE-GGA level.

* offset from the most stable computed form: 71.0 meV/atom
* calculated volume: 607 Å³/cell

Cell lengths 13.167, 3.570, 12.904 Å; angles 90.00, 90.00, 90.00 degrees
Space group Pnma (No. 62)
Unique sites:
1 Tl 0.150 0.250 0.008
2 Cu 0.228 0.750 0.841
3 Tc 0.040 0.250 0.643
4 Te 0.026 0.750 0.799
5 Te 0.095 0.250 0.438
6 Te 0.238 0.250 0.691


(8)
Below is a geometry-optimized NaDySeO structure, with properties calculated at the PBE-GGA level.

* offset from the most stable computed form: 33.5 meV/atom
* calculated volume: 322 Å³/cell

Cell lengths 7.031, 7.372, 6.373 Å; angles 90.00, 103.20, 90.00 degrees
Space group P2_1/c (No. 14)
Unique sites:
1 Na 0.099 0.238 0.000
2 Dy 0.458 0.624 0.270
3 Se 0.207 0.579 0.831
4 O 0.397 0.155 0.885


(9)
Below is a geometry-optimized PrOs structure, with properties calculated at the PBE-GGA level.

* ΔH_f (0 K): 174 kJ/mol of formula units
* calculated volume: 206 Å³/cell

Cell lengths 5.902, 5.902, 5.902 Å; angles 90.00, 90.00, 90.00 degrees
Space group Fm-3m (No. 225)
Unique sites:
1 Pr 0.000 0.000 0.000
2 Os 0.000 0.000 0.500